No. 1
Compound: Mn2FeMo2
Source: Alexandria
Functional: PBE-GGA
Structure: optimized geometry

mass density	9.005	g/cm3
E_form	0.294	eV/atom
raw total energy	-9.399	eV/atom
D(E_F)	1.602	states/eV per atom
ΔE to the lowest computed polymorph	0.0	meV/atom

Cell lengths 5.8604, 5.8604, 3.8400 Å; angles 90.00, 90.00, 90.00 degrees
Closest atoms and distances in Å follow each position.
Atoms (fractional coordinates):
Mn 0.1275 0.3725 0.0000  1 Mn 2.11, 2 Fe 2.31
Mn 0.3725 0.8725 0.0000  1 Mn 2.11, 2 Fe 2.31
Mn 0.6275 0.1275 0.0000  1 Mn 2.11, 2 Fe 2.31
Mn 0.8725 0.6275 0.0000  1 Mn 2.11, 2 Fe 2.31
Fe 0.0000 0.0000 0.0000  4 Mn 2.31
Fe 0.5000 0.5000 0.0000  4 Mn 2.31
Mo 0.1884 0.6884 0.5000  6 Mn 2.45-2.69
Mo 0.3116 0.1884 0.5000  6 Mn 2.45-2.69
Mo 0.6884 0.8116 0.5000  6 Mn 2.45-2.69
Mo 0.8116 0.3116 0.5000  6 Mn 2.45-2.69

No. 2
Compound: RbCd2GeH
Source: Alexandria
Functional: PBE-GGA
Structure: optimized geometry

mass density	5.564	g/cm3
raw total energy	-1.790	eV/atom
D(E_F)	0.491	states/eV per atom

Cell lengths 4.7653, 4.7653, 5.0462 Å; angles 90.00, 90.00, 90.00 degrees
Closest atoms and distances in Å follow each position.
Atoms (fractional coordinates):
Rb 0.0000 0.0000 0.0000  2 H 2.52
Cd 0.0000 0.5000 0.5000  2 H 2.38
Cd 0.5000 0.0000 0.5000  2 H 2.38
Ge 0.5000 0.5000 0.0000  4 Rb 3.37, 8 Cd 3.47
H 0.0000 0.0000 0.5000  4 Cd 2.38, 2 Rb 2.52

No. 3
Compound: YTh3Te6
Source: Alexandria
Functional: PBE-GGA
Structure: optimized geometry

mass density	7.757	g/cm3
raw total energy	-5.883	eV/atom
E_form (uncorrected)	-11.261	eV/f.u.
D(E_F)	0.688	states/eV per atom

Cell lengths 7.5477, 8.4225, 12.8493 Å; angles 90.00, 125.64, 90.00 degrees
Closest atoms and distances in Å follow each position.
Atoms (fractional coordinates):
Y 0.0000 0.0000 0.0000  6 Te 3.04-3.06
Y 0.0000 0.5000 0.5000  6 Te 3.04-3.06
Th 0.3022 0.1368 0.7489  6 Te 3.12-3.36
Th 0.3022 0.3631 0.2489  6 Te 3.12-3.36
Th 0.5000 0.0000 0.5000  6 Te 3.12-3.14
Th 0.5000 0.5000 0.0000  6 Te 3.12-3.14
Th 0.6978 0.6368 0.7511  6 Te 3.12-3.36
Th 0.6978 0.8632 0.2511  6 Te 3.12-3.36
Te 0.0457 0.0713 0.2468  1 Y 3.04, 3 Th 3.12-3.18
Te 0.0457 0.4287 0.7468  1 Y 3.04, 3 Th 3.12-3.18
Te 0.2181 0.6733 0.0706  1 Y 3.06, 3 Th 3.12-3.36
Te 0.2181 0.8267 0.5706  1 Y 3.06, 3 Th 3.12-3.36
Te 0.4143 0.1654 0.0703  1 Y 3.04, 3 Th 3.14-3.32
Te 0.4143 0.3346 0.5703  1 Y 3.04, 3 Th 3.14-3.32
Te 0.5857 0.6654 0.4297  1 Y 3.04, 3 Th 3.14-3.32
Te 0.5857 0.8346 0.9297  1 Y 3.04, 3 Th 3.14-3.32
Te 0.7819 0.1733 0.4294  1 Y 3.06, 3 Th 3.12-3.36
Te 0.7819 0.3267 0.9294  1 Y 3.06, 3 Th 3.12-3.36
Te 0.9543 0.5713 0.2532  1 Y 3.04, 3 Th 3.12-3.18
Te 0.9543 0.9287 0.7532  1 Y 3.04, 3 Th 3.12-3.18

No. 4
Compound: SiMoI3
Source: Alexandria
Functional: PBE-GGA
Structure: optimized geometry

mass density	4.726	g/cm3
raw total energy	-3.295	eV/atom
E_form (uncorrected)	4.431	eV/f.u.
D(E_F)	0.090	states/eV per atom
ΔE to the lowest computed polymorph	67.8	meV/atom

Cell lengths 5.6184, 5.6184, 5.6184 Å; angles 90.00, 90.00, 90.00 degrees
Closest atoms and distances in Å follow each position.
Atoms (fractional coordinates):
Si 0.0000 0.0000 0.0000  6 I 2.81
Mo 0.5000 0.5000 0.5000  12 I 3.97
I 0.0000 0.0000 0.5000  2 Si 2.81
I 0.0000 0.5000 0.0000  2 Si 2.81
I 0.5000 0.0000 0.0000  2 Si 2.81

No. 5
Compound: La2Pm3ThS6
Source: Alexandria
Functional: PBE-GGA
Structure: optimized geometry

mass density	6.585	g/cm3
raw total energy	-6.730	eV/atom
E_form (uncorrected)	-24.473	eV/f.u.
D(E_F)	0.550	states/eV per atom

Cell lengths 9.1136, 9.1136, 8.1604 Å; angles 103.22, 103.22, 25.80 degrees
Closest atoms and distances in Å follow each position.
Atoms (fractional coordinates):
La 0.1649 0.1649 0.3309  6 S 2.90-2.92
La 0.8351 0.8351 0.6691  6 S 2.90-2.92
Pm 0.1668 0.1668 0.8351  6 S 2.83-2.87
Pm 0.5000 0.5000 0.5000  6 S 2.86-2.87
Pm 0.8332 0.8332 0.1649  6 S 2.83-2.87
Th 0.5000 0.5000 0.0000  6 S 2.88-2.89
S 0.0030 0.0030 0.7502  3 Pm 2.83-2.87, 2 Th 2.89, 1 La 2.90
S 0.3331 0.3331 0.9222  3 Pm 2.84-2.87, 1 Th 2.88, 2 La 2.91
S 0.3342 0.3342 0.4117  3 Pm 2.86, 3 La 2.92
S 0.6658 0.6658 0.5883  3 Pm 2.86, 3 La 2.92
S 0.6669 0.6669 0.0778  3 Pm 2.84-2.87, 1 Th 2.88, 2 La 2.91
S 0.9970 0.9970 0.2498  3 Pm 2.83-2.87, 2 Th 2.89, 1 La 2.90

No. 6
Compound: Zr2AgB2
Source: Alexandria
Functional: PBE-GGA
Structure: optimized geometry

mass density	7.191	g/cm3
E_form	-0.418	eV/atom
raw total energy	-7.079	eV/atom
D(E_F)	0.611	states/eV per atom

Cell lengths 6.4637, 6.4637, 3.4481 Å; angles 90.00, 90.00, 90.00 degrees
Closest atoms and distances in Å follow each position.
Atoms (fractional coordinates):
Zr 0.1801 0.3199 0.0000  6 B 2.53-2.69
Zr 0.3199 0.8199 0.0000  6 B 2.53-2.69
Zr 0.6801 0.1801 0.0000  6 B 2.53-2.69
Zr 0.8199 0.6801 0.0000  6 B 2.53-2.69
Ag 0.0000 0.0000 0.5000  4 B 2.70, 8 Zr 2.93
Ag 0.5000 0.5000 0.5000  4 B 2.70, 8 Zr 2.93
B 0.0936 0.5936 0.5000  1 B 1.71
B 0.4064 0.0936 0.5000  1 B 1.71
B 0.5936 0.9064 0.5000  1 B 1.71
B 0.9064 0.4064 0.5000  1 B 1.71

Which of these has the lowest D(E_F)? SiMoI3

What is the formula in the first record? Mn2FeMo2

Look up the D(E_F) of the fourth one. 0.090 states/eV per atom

Look up the raw total energy of the third one. -5.883 eV/atom